Record 1
DFT (PBE-GGA) results for an optimized crystal structure of Cs2InCuO4.

a b c (Å): 5.8668 13.8551 22.3212
angles (deg): 90.00 90.00 90.00
With the nearest neighbours (Å) after each atom.
Space group Fddd (No. 70, origin choice 2)
Symmetry-distinct sites (fractional):
Cs (0.1250, 0.1250, 0.3038)  2 O 2.81
In (0.1250, 0.1250, 0.1250)  4 O 2.09
Cu (0.1250, 0.1250, 0.6250)  4 O 1.87
O (0.0996, 0.2806, 0.8655)  1 Cu 1.87, 1 In 2.09

## Properties
Spin magnetization (μB/f.u.): 0.00
Formation energy (no corrections) (eV per atom): -1.0469


Record 2
DFT (PBE-GGA) results for an optimized crystal structure of Th2Te3Se2.

a b c (Å): 3.8233 4.6541 12.1702
angles (deg): 79.10 81.09 89.99
With the nearest neighbours (Å) after each atom.
Space group P-1 (No. 2)
Symmetry-distinct sites (fractional):
Th (0.1089, 0.1079, 0.2806)  4 Se 3.02, 2 Te 3.22
Te (0.2607, 0.7613, 0.9779)  4 Te 3.05-3.06
Te (0.5000, 0.0000, 0.5000)  4 Th 3.22
Se (0.3823, 0.3834, 0.7362)  4 Th 3.02

## Properties
Spin magnetization (μB/f.u.): 0.00
Formation energy (no corrections) (eV per atom): -0.9722


Record 3
DFT (PBE-GGA) results for an optimized crystal structure of Na2Hg2Pb3.

a b c (Å): 9.2544 5.5578 8.4377
angles (deg): 90.00 114.08 90.00
With the nearest neighbours (Å) after each atom.
Space group C2/m (No. 12)
Symmetry-distinct sites (fractional):
Na (0.0779, 0.0000, 0.2318)  4 Hg 3.13-3.31, 3 Pb 3.42-3.44
Hg (0.2114, 0.0000, 0.6373)  4 Na 3.13-3.31, 4 Pb 3.21-3.32
Pb (0.0000, 0.5000, 0.5000)  6 Hg 3.32, 2 Pb 3.45, 2 Na 3.63
Pb (0.1500, 0.5000, 0.9471)  1 Hg 3.21, 4 Pb 3.24-3.45, 3 Na 3.42-3.44

## Properties
Spin magnetization (μB/f.u.): 0.00
Energy above the lowest structure with this stoichiometry (eV per atom): 0.023
Formation energy (eV per atom): -0.121


Record 4
DFT (PBE-GGA) results for an optimized crystal structure of BaNpI5.

a b c (Å): 11.4691 12.0191 11.5344
angles (deg): 90.00 113.05 90.00
With the nearest neighbours (Å) after each atom.
Space group C2/c (No. 15)
Symmetry-distinct sites (fractional):
Ba (0.0000, 0.0785, 0.2500)  7 I 3.49-3.86
Np (0.2500, 0.2500, 0.0000)  6 I 3.04-3.19
I (0.0000, 0.2194, 0.7500)  2 Np 3.19
I (0.0696, 0.3201, 0.1219)  1 Np 3.04
I (0.2017, 0.0050, 0.0601)  1 Np 3.12

## Properties
Spin magnetization (μB/f.u.): 4.00
Formation energy (no corrections) (eV per atom): -1.1985


Record 5
DFT (PBE-GGA) results for an optimized crystal structure of Dy4Ho10Sc.

a b c (Å): 9.6811 9.6811 10.2581
angles (deg): 90.00 90.00 90.00
With the nearest neighbours (Å) after each atom.
Space group I4/m (No. 87)
Symmetry-distinct sites (fractional):
Dy (0.0669, 0.3256, 0.0000)  2 Ho 3.14, 1 Sc 3.22
Ho (0.0000, 0.5000, 0.2500)  4 Ho 3.12, 4 Dy 3.14
Ho (0.1109, 0.2125, 0.3376)  5 Ho 3.12-3.33
Sc (0.0000, 0.0000, 0.0000)  4 Dy 3.22

## Properties
Spin magnetization (μB/f.u.): 0.00
Formation energy (eV per atom): 0.383


Record 6
DFT (PBE-GGA) results for an optimized crystal structure of SrY2Ru.

a b c (Å): 6.5605 10.3729 3.4710
angles (deg): 90.00 115.64 90.00
With the nearest neighbours (Å) after each atom.
Space group C2/m (No. 12)
Symmetry-distinct sites (fractional):
Sr (0.0000, 0.0000, 0.0000)  4 Y 3.16, 2 Ru 3.28, 2 Sr 3.47
Y (0.2500, 0.2500, 0.5000)  2 Ru 3.16, 2 Sr 3.16, 4 Y 3.28-3.47
Ru (0.0000, 0.5000, 0.0000)  4 Y 3.16, 2 Sr 3.28, 2 Ru 3.47

## Properties
Spin magnetization (μB/f.u.): 0.00
Energy above the lowest structure with this stoichiometry (eV per atom): 0.633
Formation energy (eV per atom): 0.477


Record 7
DFT (PBE-GGA) results for an optimized crystal structure of K2YZr.

a b c (Å): 8.4454 8.4454 8.4454
angles (deg): 90.00 90.00 90.00
With the nearest neighbours (Å) after each atom.
Space group Fm-3m (No. 225)
Symmetry-distinct sites (fractional):
K (0.2500, 0.2500, 0.2500)  4 Zr 3.66, 4 Y 3.66
Y (0.0000, 0.0000, 0.0000)  8 K 3.66
Zr (0.0000, 0.0000, 0.5000)  8 K 3.66

## Properties
Spin magnetization (μB/f.u.): 1.00
Energy above the lowest structure with this stoichiometry (eV per atom): 0.830
Formation energy (eV per atom): 1.219


Record 8
DFT (PBE-GGA) results for an optimized crystal structure of CeTiTc2.

a b c (Å): 6.5378 6.5378 6.5378
angles (deg): 90.00 90.00 90.00
With the nearest neighbours (Å) after each atom.
Space group Fm-3m (No. 225)
Symmetry-distinct sites (fractional):
Ce (0.0000, 0.0000, 0.0000)  8 Tc 2.83
Ti (0.0000, 0.0000, 0.5000)  8 Tc 2.83
Tc (0.2500, 0.2500, 0.2500)  4 Ce 2.83, 4 Ti 2.83

## Properties
Spin magnetization (μB/f.u.): 0.00
Energy above the lowest structure with this stoichiometry (eV per atom): 0.000
Formation energy (eV per atom): -0.189


Record 9
DFT (PBE-GGA) results for an optimized crystal structure of MnAlZn2Pb.

a b c (Å): 5.3112 5.3112 5.3689
angles (deg): 90.00 90.00 90.00
With the nearest neighbours (Å) after each atom.
Space group P4/mmm (No. 123)
Symmetry-distinct sites (fractional):
Mn (0.0000, 0.0000, 0.0000)  4 Al 3.76, 8 Zn 3.78
Al (0.5000, 0.5000, 0.0000)  2 Pb 2.68
Zn (0.0000, 0.5000, 0.5000)  2 Pb 2.66
Pb (0.5000, 0.5000, 0.5000)  4 Zn 2.66, 2 Al 2.68

## Properties
Spin magnetization (μB/f.u.): 4.67
Formation energy (eV per atom): 1.110


Record 10
DFT (PBE-GGA) results for an optimized crystal structure of Li2AgSb.

a b c (Å): 2.9801 4.4777 5.7815
angles (deg): 90.00 90.00 90.00
With the nearest neighbours (Å) after each atom.
Space group Pmm2 (No. 25)
Symmetry-distinct sites (fractional):
Li (0.0000, 0.0000, 0.0000)  2 Sb 2.89, 4 Ag 2.90, 6 Li 2.98-3.16
Li (0.5000, 0.5000, 0.2857)  2 Ag 2.75-3.03, 4 Sb 2.96, 2 Li 2.98
Ag (0.5000, 0.5000, 0.8102)  6 Li 2.75-3.03, 2 Ag 2.98
Sb (0.0000, 0.0000, 0.5000)  6 Li 2.89-2.96, 2 Sb 2.98, 4 Ag 3.23

## Properties
Spin magnetization (μB/f.u.): 0.00
Formation energy (no corrections) (eV per atom): -0.2387


Record 11
DFT (PBE-GGA) results for an optimized crystal structure of KIn2Hg2I6.

a b c (Å): 15.5261 8.8947 11.2293
angles (deg): 90.00 130.39 90.00
With the nearest neighbours (Å) after each atom.
Space group C2/m (No. 12)
Symmetry-distinct sites (fractional):
K (0.0000, 0.0000, 0.0000)  6 I 3.54-3.56
In (0.1860, 0.0000, 0.6808)  4 I 2.84-3.11
Hg (0.1333, 0.5000, 0.3712)  1 In 3.21
I (0.0219, 0.0000, 0.3358)  2 In 2.95-3.11
I (0.2387, 0.3055, 0.7751)  1 In 2.84

## Properties
Spin magnetization (μB/f.u.): 0.00
Formation energy (no corrections) (eV per atom): -0.4890


Record 12
DFT (PBE-GGA) results for an optimized crystal structure of Li3Sn2Bi3.

a b c (Å): 4.3200 4.5623 20.6550
angles (deg): 90.00 90.00 90.00
With the nearest neighbours (Å) after each atom.
Space group Immm (No. 71)
Symmetry-distinct sites (fractional):
Li (0.0000, 0.0000, 0.0000)  8 Bi 3.14-3.26, 4 Li 3.41
Li (0.0000, 0.5000, 0.1227)  6 Bi 3.14-3.33, 4 Sn 3.39-3.49, 2 Li 3.41
Sn (0.0000, 0.0000, 0.2444)  4 Sn 3.15, 2 Bi 3.39, 4 Li 3.39-3.49
Bi (0.0000, 0.0000, 0.5000)  8 Li 3.14-3.33, 4 Bi 3.34
Bi (0.0000, 0.5000, 0.3819)  6 Li 3.14-3.26, 2 Bi 3.34, 2 Sn 3.39

## Properties
Spin magnetization (μB/f.u.): 0.00
Formation energy (eV per atom): -0.231


Record 13
DFT (PBE-GGA) results for an optimized crystal structure of SmAl4Pt12.

a b c (Å): 8.5329 8.5329 8.5329
angles (deg): 90.00 90.00 90.00
With the nearest neighbours (Å) after each atom.
Space group Im-3 (No. 204)
Symmetry-distinct sites (fractional):
Sm (0.0000, 0.0000, 0.0000)  12 Pt 3.22
Al (0.2500, 0.2500, 0.2500)  6 Pt 2.42
Pt (0.0000, 0.3444, 0.1534)  2 Al 2.42, 2 Pt 2.62-2.65

## Properties
Spin magnetization (μB/f.u.): 0.00
Formation energy (eV per atom): -0.332


Record 14
DFT (PBE-GGA) results for an optimized crystal structure of Ac2Al3CuAu4.

a b c (Å): 4.5910 4.5910 10.4219
angles (deg): 90.00 90.00 90.00
With the nearest neighbours (Å) after each atom.
Space group P-4m2 (No. 115)
Symmetry-distinct sites (fractional):
Ac (0.0000, 0.5000, 0.2426)  2 Cu 3.42, 6 Al 3.42-3.53, 8 Au 3.46-3.53
Al (0.0000, 0.0000, 0.0000)  4 Au 2.65
Al (0.0000, 0.5000, 0.6254)  5 Au 2.58-2.64
Cu (0.5000, 0.5000, 0.0000)  4 Au 2.65
Au (0.0000, 0.0000, 0.5000)  4 Al 2.64
Au (0.0000, 0.5000, 0.8728)  3 Al 2.58-2.65, 2 Cu 2.65
Au (0.5000, 0.5000, 0.5000)  4 Al 2.64

## Properties
Spin magnetization (μB/f.u.): 0.00
Formation energy (eV per atom): -0.649


Record 15
DFT (PBE-GGA) results for an optimized crystal structure of TaTcAg2.

a b c (Å): 3.7902 3.8123 9.2001
angles (deg): 90.00 90.00 90.00
With the nearest neighbours (Å) after each atom.
Space group Immm (No. 71)
Symmetry-distinct sites (fractional):
Ta (0.0000, 0.0000, 0.0000)  4 Tc 2.69, 8 Ag 2.98-2.99
Tc (0.0000, 0.0000, 0.5000)  4 Ta 2.69, 8 Ag 2.98-2.99
Ag (0.0000, 0.5000, 0.2500)  4 Ag 2.69, 4 Ta 2.98-2.99, 4 Tc 2.98-2.99

## Properties
Spin magnetization (μB/f.u.): 0.00
Energy above the lowest structure with this stoichiometry (eV per atom): 0.105
Formation energy (eV per atom): 0.283


Record 16
DFT (PBE-GGA) results for an optimized crystal structure of Sr6Pd2SeI3.

a b c (Å): 7.8598 13.6131 8.5840
angles (deg): 90.00 107.80 90.00
With the nearest neighbours (Å) after each atom.
Space group C2/m (No. 12)
Symmetry-distinct sites (fractional):
Sr (0.2256, 0.0000, 0.1988)  2 Pd 3.06, 1 Se 3.13
Sr (0.2367, 0.3296, 0.1995)  2 Pd 3.06, 1 Se 3.13
Pd (0.0000, 0.1670, 0.0000)  6 Sr 3.06
Se (0.0000, 0.5000, 0.0000)  6 Sr 3.13
I (0.0000, 0.0000, 0.5000)  6 Sr 3.55-3.61
I (0.0000, 0.3378, 0.5000)  6 Sr 3.58-3.61

## Properties
Spin magnetization (μB/f.u.): 0.00
Formation energy (no corrections) (eV per atom): -1.1660


Record 17
DFT (PBE-GGA) results for an optimized crystal structure of SrS2IN.

a b c (Å): 5.2922 5.2922 4.0515
angles (deg): 90.00 90.00 90.00
With the nearest neighbours (Å) after each atom.
Space group P4/mmm (No. 123)
Symmetry-distinct sites (fractional):
Sr (0.0000, 0.0000, 0.0000)  8 S 3.33
S (0.0000, 0.5000, 0.5000)  2 I 2.65
I (0.5000, 0.5000, 0.5000)  2 N 2.03
N (0.5000, 0.5000, 0.0000)  2 I 2.03

## Properties
Spin magnetization (μB/f.u.): 0.00
Formation energy (no corrections) (eV per atom): 0.1707
Energy above the lowest structure with this stoichiometry (eV per atom): 0.000


Record 18
DFT (PBE-GGA) results for an optimized crystal structure of CaTa2Co.

a b c (Å): 2.9612 4.7190 5.4078
angles (deg): 90.00 101.70 90.00
With the nearest neighbours (Å) after each atom.
Space group P2/m (No. 10)
Symmetry-distinct sites (fractional):
Ca (0.0000, 0.0000, 0.0000)  2 Co 2.81, 2 Ca 2.96, 4 Ta 3.03
Ta (0.2964, 0.5000, 0.7198)  4 Ta 2.65-2.96, 2 Co 2.76
Co (0.5000, 0.0000, 0.5000)  4 Ta 2.76, 2 Ca 2.81, 2 Co 2.96

## Properties
Spin magnetization (μB/f.u.): 0.76
Energy above the lowest structure with this stoichiometry (eV per atom): 0.380
Formation energy (eV per atom): 0.596


Record 19
DFT (PBE-GGA) results for an optimized crystal structure of Ce3NdS4.

a b c (Å): 5.6924 5.6924 5.6924
angles (deg): 90.00 90.00 90.00
With the nearest neighbours (Å) after each atom.
Space group Pm-3m (No. 221)
Symmetry-distinct sites (fractional):
Ce (0.0000, 0.0000, 0.5000)  6 S 2.85
Nd (0.5000, 0.5000, 0.5000)  6 S 2.85
S (0.0000, 0.0000, 0.0000)  6 Ce 2.85
S (0.0000, 0.5000, 0.5000)  4 Ce 2.85, 2 Nd 2.85

## Properties
Spin magnetization (μB/f.u.): 0.72
Formation energy (no corrections) (eV per atom): -2.0470


Record 20
DFT (PBE-GGA) results for an optimized crystal structure of PuMgHgPt.

a b c (Å): 7.0279 7.0279 7.0279
angles (deg): 90.00 90.00 90.00
With the nearest neighbours (Å) after each atom.
Space group F-43m (No. 216)
Symmetry-distinct sites (fractional):
Pu (0.0000, 0.0000, 0.0000)  4 Hg 3.04, 4 Pt 3.04
Mg (0.0000, 0.0000, 0.5000)  4 Hg 3.04, 4 Pt 3.04
Hg (0.2500, 0.2500, 0.7500)  4 Mg 3.04, 4 Pu 3.04
Pt (0.2500, 0.2500, 0.2500)  4 Mg 3.04, 4 Pu 3.04

## Properties
Spin magnetization (μB/f.u.): 5.41
Formation energy (eV per atom): -0.408


Record 21
DFT (PBE-GGA) results for an optimized crystal structure of SmBeRu.

a b c (Å): 3.8616 3.8616 13.3572
angles (deg): 90.00 90.00 120.00
With the nearest neighbours (Å) after each atom.
Space group R3m (No. 160, hexagonal axes)
Symmetry-distinct sites (fractional):
Sm (0.0000, 0.0000, 0.0000)  4 Be 2.71-2.83, 3 Ru 3.03
Be (0.0000, 0.0000, 0.2032)  3 Ru 2.25
Ru (0.0000, 0.0000, 0.5133)  3 Be 2.25

## Properties
Spin magnetization (μB/f.u.): 0.00
Energy above the lowest structure with this stoichiometry (eV per atom): 0.211
Formation energy (eV per atom): 0.003


Record 22
DFT (PBE-GGA) results for an optimized crystal structure of Ti2BN.

a b c (Å): 5.4946 5.4946 5.4946
angles (deg): 90.00 90.00 90.00
With the nearest neighbours (Å) after each atom.
Space group Fm-3m (No. 225)
Symmetry-distinct sites (fractional):
Ti (0.2500, 0.2500, 0.2500)  4 B 2.38, 4 N 2.38
B (0.0000, 0.0000, 0.0000)  8 Ti 2.38
N (0.0000, 0.0000, 0.5000)  8 Ti 2.38

## Properties
Spin magnetization (μB/f.u.): 0.00
Formation energy (no corrections) (eV per atom): -0.0302
Energy above the lowest structure with this stoichiometry (eV per atom): 1.286


Record 23
DFT (PBE-GGA) results for an optimized crystal structure of Sm4Y2Sc3.

a b c (Å): 18.0528 3.5138 8.5559
angles (deg): 90.00 90.93 90.00
With the nearest neighbours (Å) after each atom.
Space group C2/m (No. 12)
Symmetry-distinct sites (fractional):
Sm (0.0517, 0.0000, 0.3285)  6 Sc 3.42-3.51, 5 Sm 3.50-3.58, 1 Y 3.52
Sm (0.2244, 0.5000, 0.3306)  3 Sc 3.46-3.54, 3 Y 3.48-3.55, 6 Sm 3.50-3.58
Y (0.1616, 0.0000, 0.9928)  4 Sc 3.41-3.43, 4 Sm 3.48-3.55, 4 Y 3.51-3.65
Sc (0.0000, 0.5000, 0.0000)  4 Y 3.41, 4 Sm 3.43, 4 Sc 3.51-3.53
Sc (0.1104, 0.5000, 0.6639)  7 Sm 3.42-3.54, 2 Y 3.43, 3 Sc 3.51-3.53

## Properties
Spin magnetization (μB/f.u.): 0.00
Formation energy (eV per atom): 0.050


Record 24
DFT (PBE-GGA) results for an optimized crystal structure of NaNb2Ir.

a b c (Å): 7.6416 7.6416 5.5963
angles (deg): 90.00 90.00 90.00
With the nearest neighbours (Å) after each atom.
Space group I-42d (No. 122)
Symmetry-distinct sites (fractional):
Na (0.0000, 0.0000, 0.0000)  2 Ir 2.80, 4 Nb 3.09
Nb (0.1954, 0.7500, 0.6250)  2 Ir 2.52
Ir (0.0000, 0.0000, 0.5000)  4 Nb 2.52, 2 Na 2.80

## Properties
Spin magnetization (μB/f.u.): 0.00
Energy above the lowest structure with this stoichiometry (eV per atom): 0.186
Formation energy (eV per atom): 0.566